Record 1
Density functional theory data (meta-GGA SCAN) for TaInFe2 at its PBEsol-relaxed geometry.

Cell: 3.0483 3.0483 6.0494 Å, 90.00 90.00 90.00°
Space group P4/mmm (No. 123)
Asymmetric unit:
Ta1 0.0000 0.0000 0.0000 [1 per cell]
In1 0.0000 0.0000 0.5000 [1 per cell]
Fe1 0.5000 0.5000 0.2300 [2 per cell]

Computed properties:
Uncorrected energy (eV per cell): -135.96
E_form (kJ/mol of atoms): 6.47
Crystal system: tetragonal

---

Record 2
Density functional theory data (meta-GGA SCAN) for NaGaTe2O6 at its PBEsol-relaxed geometry.

Cell: 7.6973 13.1968 10.3716 Å, 90.00 90.00 90.00°
Space group Pbca (No. 61)
Asymmetric unit:
Na1 0.1634 0.1380 0.2425 [8 per cell]
Ga1 0.1960 0.0198 0.5024 [8 per cell]
Te1 0.0553 0.0796 0.7860 [8 per cell]
Te2 0.0855 0.7390 0.9907 [8 per cell]
O1 0.9997 0.0090 0.6271 [8 per cell]
O2 0.0723 0.7338 0.8101 [8 per cell]
O3 0.1275 0.5417 0.3756 [8 per cell]
O4 0.1303 0.1664 0.4719 [8 per cell]
O5 0.1843 0.5518 0.6633 [8 per cell]
O6 0.2427 0.6290 0.0213 [8 per cell]

Computed properties:
Uncorrected energy (eV per cell): -1181.72
Energy relative to the elements, uncorrected (eV/atom): -1.53
Crystal system: orthorhombic

---

Record 3
Density functional theory data (meta-GGA SCAN) for BiPtRhN2 at its PBEsol-relaxed geometry.

Cell: 3.7354 3.7354 6.3881 Å, 90.00 90.00 90.00°
Space group P4/mmm (No. 123)
Asymmetric unit:
Bi1 0.0000 0.0000 0.0000 [1 per cell]
Pt1 0.0000 0.0000 0.5000 [1 per cell]
Rh1 0.5000 0.5000 0.0000 [1 per cell]
N1 0.0000 0.5000 0.5000 [2 per cell]

Computed properties:
Uncorrected energy (eV per cell): -194.91
Energy relative to the elements, uncorrected (eV/atom): 1.24
Crystal system: tetragonal

---

Record 4
Density functional theory data (meta-GGA SCAN) for LiTl2In at its PBEsol-relaxed geometry.

Cell: 4.7239 4.7239 8.7387 Å, 90.00 90.00 90.00°
Space group I4/mmm (No. 139)
Asymmetric unit:
Li1 0.0000 0.0000 0.0000 [2 per cell]
Tl1 0.0000 0.5000 0.2500 [4 per cell]
In1 0.0000 0.0000 0.5000 [2 per cell]

Computed properties:
Uncorrected energy (eV per cell): -361.86
E_form (kJ/mol of atoms): -10.59
Crystal system: tetragonal

---

Record 5
Density functional theory data (meta-GGA SCAN) for PPt3 at its PBEsol-relaxed geometry.

Cell: 3.1469 8.2293 4.5729 Å, 90.00 90.00 90.00°
Space group Imm2 (No. 44)
Asymmetric unit:
P1 0.0000 0.0000 0.0000 [2 per cell]
Pt1 0.0000 0.3001 0.6312 [4 per cell]
Pt2 0.0000 0.5000 0.1159 [2 per cell]

Computed properties:
Uncorrected energy (eV per cell): -443.56
Relative energy among the computed polymorphs (kJ/mol of formula units): 0
E_form (kJ/mol of atoms): -19.32
Crystal system: orthorhombic

---

Record 6
Density functional theory data (meta-GGA SCAN) for Tl2NiAs at its PBEsol-relaxed geometry.

Cell: 6.8321 3.9497 7.2073 Å, 90.00 108.54 90.00°
Space group Cm (No. 8)
Asymmetric unit:
Tl1 0.0000 0.0000 0.0000 [2 per cell]
Tl2 0.2060 0.0000 0.6151 [2 per cell]
Ni1 0.4383 0.0000 0.3151 [2 per cell]
As1 0.2690 0.5000 0.3068 [2 per cell]

Computed properties:
Uncorrected energy (eV per cell): -362.70
Relative energy among the computed polymorphs (kJ/mol of formula units): 0
E_form (kJ/mol of atoms): -6.49
Crystal system: monoclinic

---

Record 7
Density functional theory data (meta-GGA SCAN) for B3TeF at its PBEsol-relaxed geometry.

Cell: 4.4514 4.4514 4.4514 Å, 90.00 90.00 90.00°
Space group Pm-3m (No. 221)
Asymmetric unit:
B1 0.0000 0.0000 0.5000 [3 per cell]
Te1 0.0000 0.0000 0.0000 [1 per cell]
F1 0.5000 0.5000 0.5000 [1 per cell]

Computed properties:
Uncorrected energy (eV per cell): -52.34
Energy relative to the elements, uncorrected (eV/atom): 2.15
Crystal system: cubic

---

Record 8
Density functional theory data (meta-GGA SCAN) for KTi3NbO9 at its PBEsol-relaxed geometry.

Cell: 3.7960 6.3853 14.9468 Å, 90.00 90.00 90.00°
Space group Pmn2_1 (No. 31)
Asymmetric unit:
K1 0.0000 0.2431 0.0000 [2 per cell]
Ti1 0.0000 0.2303 0.3760 [2 per cell]
Ti2 0.0000 0.6802 0.3007 [2 per cell]
Ti3 0.0000 0.6921 0.7171 [2 per cell]
Nb1 0.0000 0.2408 0.6233 [2 per cell]
O1 0.0000 0.1680 0.5018 [2 per cell]
O2 0.0000 0.3462 0.2451 [2 per cell]
O3 0.0000 0.3565 0.7656 [2 per cell]
O4 0.0000 0.5277 0.4026 [2 per cell]
O5 0.0000 0.5446 0.6074 [2 per cell]
O6 0.0000 0.7547 0.1582 [2 per cell]
O7 0.0000 0.7648 0.8496 [2 per cell]
O8 0.0000 0.9350 0.3480 [2 per cell]
O9 0.0000 0.9439 0.6662 [2 per cell]

Computed properties:
Uncorrected energy (eV per cell): -377.59
Energy relative to the elements, uncorrected (eV/atom): -3.08
Crystal system: orthorhombic

---

Record 9
Density functional theory data (meta-GGA SCAN) for AgHg2Os at its PBEsol-relaxed geometry.

Cell: 4.0545 4.0545 8.5226 Å, 90.00 90.00 90.00°
Space group I-4m2 (No. 119)
Asymmetric unit:
Ag1 0.0000 0.0000 0.0000 [2 per cell]
Hg1 0.0000 0.0000 0.5000 [2 per cell]
Hg2 0.0000 0.5000 0.2500 [2 per cell]
Os1 0.0000 0.5000 0.7500 [2 per cell]

Computed properties:
Uncorrected energy (eV per cell): -472.32
Relative energy among the computed polymorphs (kJ/mol of formula units): 16
E_form (kJ/mol of atoms): 82.48
Crystal system: tetragonal

---

Record 10
Density functional theory data (meta-GGA SCAN) for NaMg2Zn at its PBEsol-relaxed geometry.

Cell: 4.3090 4.3090 20.8096 Å, 90.00 90.00 90.00°
Space group I-42d (No. 122)
Asymmetric unit:
Na1 0.0000 0.0000 0.0000 [4 per cell]
Mg1 0.2328 0.2500 0.6250 [8 per cell]
Zn1 0.0000 0.0000 0.5000 [4 per cell]

Computed properties:
Uncorrected energy (eV per cell): -106.60
E_form (kJ/mol of atoms): 24.76
Crystal system: tetragonal

---

Record 11
Density functional theory data (meta-GGA SCAN) for CaCdCl4 at its PBEsol-relaxed geometry.

Cell: 8.3092 8.3092 8.3092 Å, 90.00 90.00 90.00°
Space group F-43m (No. 216)
Asymmetric unit:
Ca1 0.0000 0.0000 0.0000 [4 per cell]
Cd1 0.2500 0.2500 0.2500 [4 per cell]
Cl1 0.1245 0.1245 0.6245 [16 per cell]

Computed properties:
Uncorrected energy (eV per cell): -300.23
Energy relative to the elements, uncorrected (eV/atom): -0.51
Crystal system: cubic

---

Record 12
Density functional theory data (meta-GGA SCAN) for FeCo3 at its PBEsol-relaxed geometry.

Cell: 4.5823 4.6127 4.6145 Å, 94.91 116.95 95.90°
Space group P-1 (No. 2)
Asymmetric unit:
Fe1 0.1820 0.3751 0.4354 [2 per cell]
Co1 0.0644 0.1185 0.8041 [2 per cell]
Co2 0.3132 0.6270 0.0682 [2 per cell]
Co3 0.4507 0.8672 0.6887 [2 per cell]

Computed properties:
Uncorrected energy (eV per cell): -140.74
E_form (kJ/mol of atoms): -7.91
Crystal system: triclinic